(1)
Computed, not measured: an optimized crystal structure of HfUReRu at the PBE level of DFT.

a = 4.711 Å, b = 4.711 Å, c = 4.711 Å
α = 60.00°, β = 60.00°, γ = 60.00°
Last column: magnetic moment on the atom in μB.
Element x y z (fractional)
Re  0.500  0.500  0.500  -0.13
Hf  0.750  0.750  0.750  0.09
U  0.250  0.250  0.250  1.56
Ru  0.000  0.000  0.000  -0.09

DFT total energy: -10.924 eV per atom
Space group: F-43m (216)

(2)
Computed, not measured: an optimized crystal structure of HfVReRu at the PBE level of DFT.

a = 4.449 Å, b = 4.449 Å, c = 4.449 Å
α = 60.00°, β = 60.00°, γ = 60.00°
Element x y z (fractional)
Re  0.250  0.250  0.250
V  0.000  0.000  0.000
Hf  0.500  0.500  0.500
Ru  0.750  0.750  0.750

DFT total energy: -10.577 eV per atom
Space group: F-43m (216)

(3)
Computed, not measured: an optimized crystal structure of HfZrReRu at the PBE level of DFT.

a = 4.628 Å, b = 4.628 Å, c = 4.628 Å
α = 60.00°, β = 60.00°, γ = 60.00°
Element x y z (fractional)
Re  0.750  0.750  0.750
Hf  0.000  0.000  0.000
Zr  0.500  0.500  0.500
Ru  0.250  0.250  0.250

Space group: F-43m (216)
Distance to the lowest polymorph of the same formula: 9 meV per atom